(1)
A geometry-optimized HfI2NO structure. Source: the Alexandria database, functional PBE-GGA.

Output
E	-20.19	eV per cell
formation energy from raw total energies	1.230	eV/atom
offset from the most stable computed form	1470	meV per atom
theoretical density	8.38	g cm⁻³
total moment	0.000	μB per atom

The structure in CIF format:
```
data_HfI2NO
_cell_length_a 4.8882
_cell_length_b 4.8882
_cell_length_c 3.8319
_cell_angle_alpha 90.00
_cell_angle_beta 90.00
_cell_angle_gamma 90.00
_symmetry_space_group_name_H-M 'P 4/m m m'
_symmetry_Int_Tables_number 123
_symmetry_space_group_name_Hall '-P 4 2'
loop_
_atom_site_label
_atom_site_type_symbol
_atom_site_fract_x
_atom_site_fract_y
_atom_site_fract_z
Hf1 Hf 0.0000 0.0000 0.0000
I1 I 0.0000 0.5000 0.5000
N1 N 0.5000 0.5000 0.0000
O1 O 0.5000 0.5000 0.5000
```


(2)
A geometry-optimized HfINO2 structure. Source: the Alexandria database, functional PBE-GGA.

Output
E	-32.88	eV per cell
formation energy from raw total energies	-0.626	eV/atom
theoretical density	5.92	g cm⁻³
total moment	0.313	μB per atom

The structure in CIF format:
```
data_HfINO2
_cell_length_a 3.9581
_cell_length_b 3.9581
_cell_length_c 6.2930
_cell_angle_alpha 90.00
_cell_angle_beta 90.00
_cell_angle_gamma 90.00
_symmetry_space_group_name_H-M 'P 4/m m m'
_symmetry_Int_Tables_number 123
_symmetry_space_group_name_Hall '-P 4 2'
loop_
_atom_site_label
_atom_site_type_symbol
_atom_site_fract_x
_atom_site_fract_y
_atom_site_fract_z
Hf1 Hf 0.0000 0.0000 0.0000
I1 I 0.0000 0.0000 0.5000
N1 N 0.5000 0.5000 0.5000
O1 O 0.0000 0.5000 0.0000
```


(3)
A geometry-optimized HfIN2O structure. Source: the Alexandria database, functional PBE-GGA.

Output
E	-25.65	eV per cell
formation energy from raw total energies	1.493	eV/atom
theoretical density	8.52	g cm⁻³
total moment	0.000	μB per atom

The structure in CIF format:
```
data_HfIN2O
_cell_length_a 4.1458
_cell_length_b 4.1458
_cell_length_c 3.9616
_cell_angle_alpha 90.00
_cell_angle_beta 90.00
_cell_angle_gamma 90.00
_symmetry_space_group_name_H-M 'P 4/m m m'
_symmetry_Int_Tables_number 123
_symmetry_space_group_name_Hall '-P 4 2'
loop_
_atom_site_label
_atom_site_type_symbol
_atom_site_fract_x
_atom_site_fract_y
_atom_site_fract_z
Hf1 Hf 0.0000 0.0000 0.0000
I1 I 0.5000 0.5000 0.0000
N1 N 0.0000 0.5000 0.5000
O1 O 0.5000 0.5000 0.5000
```


(4)
A geometry-optimized HfINO2 structure. Source: the Alexandria database, functional PBE-GGA.

Output
E	-34.00	eV per cell
formation energy from raw total energies	-0.852	eV/atom
theoretical density	7.79	g cm⁻³
total moment	0.000	μB per atom

The structure in CIF format:
```
data_HfINO2
_cell_length_a 4.0512
_cell_length_b 4.0512
_cell_length_c 4.5626
_cell_angle_alpha 90.00
_cell_angle_beta 90.00
_cell_angle_gamma 90.00
_symmetry_space_group_name_H-M 'P 4/m m m'
_symmetry_Int_Tables_number 123
_symmetry_space_group_name_Hall '-P 4 2'
loop_
_atom_site_label
_atom_site_type_symbol
_atom_site_fract_x
_atom_site_fract_y
_atom_site_fract_z
Hf1 Hf 0.0000 0.0000 0.0000
I1 I 0.5000 0.5000 0.5000
N1 N 0.0000 0.0000 0.5000
O1 O 0.0000 0.5000 0.0000
```